1.
AlTcSe | PBE-GGA | optimized geometry

Computed properties:
theoretical density	6.77	g/cm3
total magnetization	0.0	Bohr magnetons per cell
formation energy from raw total energies	270	meV per atom
D(E_F)	3.40	states/eV/cell
DFT total energy	-5.5941	eV per atom

CIF file:
```
data_AlTcSe
_space_group_name_H-M_alt 'P 1'
_space_group_IT_number 1
_space_group_name_Hall 'P 1'
_cell_length_a 6.835
_cell_length_b 6.537
_cell_length_c 2.971
_cell_angle_alpha 82.84
_cell_angle_beta 71.61
_cell_angle_gamma 25.55
loop_
_atom_site_label
_atom_site_type_symbol
_atom_site_fract_x
_atom_site_fract_y
_atom_site_fract_z
Tc1 Tc 0.667 0.667 0.333
Se1 Se 0.324 0.324 0.676
Al1 Al 0.009 0.009 0.991
```


2.
AlWI2N | PBE-GGA | optimized geometry

Computed properties:
theoretical density	7.11	g/cm3
total magnetization	3.4	Bohr magnetons per cell
formation energy from raw total energies	1080	meV per atom
D(E_F)	2.68	states/eV/cell
DFT total energy	-4.5445	eV per atom

CIF file:
```
data_AlWI2N
_space_group_name_H-M_alt 'P 1'
_space_group_IT_number 1
_space_group_name_Hall 'P 1'
_cell_length_a 5.669
_cell_length_b 5.669
_cell_length_c 3.477
_cell_angle_alpha 90.00
_cell_angle_beta 90.00
_cell_angle_gamma 90.00
loop_
_atom_site_label
_atom_site_type_symbol
_atom_site_fract_x
_atom_site_fract_y
_atom_site_fract_z
I1 I 0.000 0.500 0.000
I2 I 0.500 0.000 0.000
Al1 Al 0.000 0.000 0.000
W1 W 0.500 0.500 0.500
N1 N 0.000 0.000 0.500
```


- Look up the DFT total energy of the first one.
  -5.5941 eV per atom


- Among the records above, which one has the lowest DFT total energy?
  AlTcSe


- What is the formula in the first record?
  AlTcSe